(1)
Density functional theory data (GGA-PBE) for a relaxed KCu2TeBr8 crystal.

The structure belongs to space group R-3 (No. 148, hexagonal axes); the cell edges are 6.7769, 6.7769 and 30.3945 Å and the angles 90.00°, 90.00° and 120.00°. Symmetry generates all atoms from K at (0.0000, 0.0000, 0.0000), Cu at (0.0000, 0.0000, 0.2462), Te at (0.0000, 0.0000, 0.5000), Br at (0.0000, 0.0000, 0.3230) and Br at (0.9999, 0.3431, 0.7791).

The energy is -2.65 eV per atom. As for the formation energy from raw total energies: -0.504 eV/atom.



(2)
Density functional theory data (GGA-PBE) for a relaxed Mn2CoAu crystal.

The structure belongs to space group I-42d (No. 122); the cell edges are 6.6181, 6.6181 and 4.9542 Å and the angles 90.00°, 90.00° and 90.00°. Symmetry generates all atoms from Mn at (0.1957, 0.2500, 0.1250), Co at (0.0000, 0.0000, 0.0000) and Au at (0.0000, 0.0000, 0.5000).

For the energy above the lowest structure with this stoichiometry, the calculation gives 735 meV/atom. The energy is -6.43 eV per atom.



no.,volume (Å³ per atom),total magnetization (μB per formula unit)
1,33.58,1.16
2,13.56,0.00